(1)
First-principles (PBE-GGA) data for a geometry-optimized ScInRh2 structure, as listed in Alexandria via LeMat-Bulk.

a b c (Å): 5.2980 5.2980 5.2980
angles (deg): 137.34 137.31 61.94
Atoms (fractional coordinates):
Sc (0.5000, 0.5000, 0.0000)
Rh (0.7500, 0.2500, 0.5000)
Rh (0.0000, 0.0000, 0.0000)
In (0.2500, 0.7500, 0.5000)

space-group type: I-4m2, No. 119
density of states at the Fermi level: 3.72 states/eV per cell
calculated formation energy: -0.68 eV/atom
mass density: 8.99 g cm⁻³

***

(2)
First-principles (PBE-GGA) data for a geometry-optimized Rb2ZnNiN structure, as listed in Alexandria via LeMat-Bulk.

a b c (Å): 6.4079 4.5487 6.4079
angles (deg): 90.00 90.00 90.00
Site moments in Bohr magnetons follow the coordinates.
Atoms (fractional coordinates):
Ni (0.0000, 0.5000, 0.0000)  0.33
Rb (0.5000, 0.0000, 0.0000)  -0.01
Rb (0.0000, 0.0000, 0.5000)  -0.01
Zn (0.0000, 0.0000, 0.0000)  -0.03
N (0.5000, 0.5000, 0.5000)  1.39

energy relative to the elements, uncorrected: 111.7 kJ per mole of atoms
space-group type: P4/mmm, No. 123
density of states at the Fermi level: 6.92 states/eV per cell
mass density: 2.75 g cm⁻³

***

(3)
First-principles (PBE-GGA) data for a geometry-optimized Pr2Si4PdPt3 structure, as listed in Alexandria via LeMat-Bulk.

a b c (Å): 4.2902 4.2902 9.8724
angles (deg): 90.00 90.00 90.00
Atoms (fractional coordinates):
Pt (0.0000, 0.5000, 0.1203)
Pt (0.5000, 0.0000, 0.8797)
Pt (0.0000, 0.0000, 0.5000)
Pd (0.5000, 0.5000, 0.5000)
Si (0.5000, 0.5000, 0.0000)
Si (0.5000, 0.0000, 0.6311)
Si (0.0000, 0.0000, 0.0000)
Si (0.0000, 0.5000, 0.3689)
Pr (0.0000, 0.5000, 0.7545)
Pr (0.5000, 0.0000, 0.2455)

energy relative to the elements, uncorrected: -104.4 kJ per mole of atoms
space-group type: P-4m2, No. 115
density of states at the Fermi level: 5.57 states/eV per cell
mass density: 9.92 g cm⁻³

***

(4)
First-principles (PBE-GGA) data for a geometry-optimized Pa3Te3As structure, as listed in Alexandria via LeMat-Bulk.

a b c (Å): 10.2963 10.2963 10.2963
angles (deg): 109.47 109.47 109.47
Site moments in Bohr magnetons follow the coordinates.
Atoms (fractional coordinates):
Pa (0.2500, 0.0092, 0.4908)  0.47
Pa (0.7592, 0.0092, 0.0184)  0.47
Pa (0.5184, 0.2592, 0.0092)  0.47
Pa (0.5092, 0.4908, 0.7500)  0.47
Pa (0.9908, 0.2408, 0.4816)  0.47
Pa (0.2500, 0.2408, 0.2592)  0.47
Pa (0.9816, 0.4908, 0.2408)  0.47
Pa (0.7592, 0.7500, 0.2408)  0.47
Pa (0.5092, 0.0184, 0.2592)  0.47
Pa (0.7408, 0.2592, 0.7500)  0.47
Pa (0.9908, 0.7500, 0.0092)  0.47
Pa (0.7408, 0.4816, 0.4908)  0.47
Te (0.4899, 0.9798, 0.7399)  -0.02
Te (0.2399, 0.2500, 0.7601)  -0.02
Te (0.2601, 0.7399, 0.2500)  -0.02
Te (0.0101, 0.2500, 0.9899)  -0.02
Te (0.2399, 0.9899, 0.9798)  -0.02
Te (0.7500, 0.9899, 0.5101)  -0.02
Te (0.7500, 0.7601, 0.7399)  -0.02
Te (0.4798, 0.7399, 0.9899)  -0.02
Te (0.0202, 0.5101, 0.7601)  -0.02
Te (0.4899, 0.5101, 0.2500)  -0.02
Te (0.0101, 0.7601, 0.5202)  -0.02
Te (0.2601, 0.5202, 0.5101)  -0.02
As (0.7500, 0.5000, 0.0000)  -0.01
As (0.7500, 0.2500, 0.2500)  -0.01
As (0.5000, 0.2500, 0.5000)  -0.01
As (0.0000, 0.0000, 0.2500)  -0.01

energy relative to the elements, uncorrected: -84.1 kJ per mole of atoms
space-group type: I4_132, No. 214
density of states at the Fermi level: 46.64 states/eV per cell
ΔE to the lowest computed polymorph: 0.000 eV/atom
mass density: 9.10 g cm⁻³

***

(5)
First-principles (PBE-GGA) data for a geometry-optimized Nd7Bi4C structure, as listed in Alexandria via LeMat-Bulk.

a b c (Å): 5.2083 9.7566 8.7113
angles (deg): 79.12 72.61 74.52
Atoms (fractional coordinates):
Bi (0.4133, 0.7803, 0.3930)
Bi (0.2815, 0.3444, 0.0926)
Bi (0.5867, 0.2197, 0.6070)
Bi (0.7185, 0.6556, 0.9074)
Nd (0.7702, 0.8690, 0.5906)
Nd (0.6368, 0.4619, 0.2646)
Nd (0.2298, 0.1310, 0.4094)
Nd (0.0550, 0.7622, 0.1279)
Nd (0.3632, 0.5381, 0.7354)
Nd (0.9450, 0.2378, 0.8721)
Nd (0.5000, 0.0000, 0.0000)
C (0.0000, 0.0000, 0.0000)

space-group type: C2/m, No. 12
density of states at the Fermi level: 11.00 states/eV per cell
calculated formation energy: -0.42 eV/atom
mass density: 7.63 g cm⁻³

***

(6)
First-principles (PBE-GGA) data for a geometry-optimized Cr2FeBP structure, as listed in Alexandria via LeMat-Bulk.

a b c (Å): 3.8006 3.7955 3.8006
angles (deg): 90.00 90.00 90.00
Atoms (fractional coordinates):
P (0.0000, 0.5000, 0.0000)
Cr (0.5000, 0.0000, 0.0000)
Cr (0.0000, 0.0000, 0.5000)
Fe (0.5000, 0.5000, 0.5000)
B (0.0000, 0.0000, 0.0000)

space-group type: P4/mmm, No. 123
density of states at the Fermi level: 7.13 states/eV per cell
calculated formation energy: 0.67 eV/atom
mass density: 6.11 g cm⁻³

***

(7)
First-principles (PBE-GGA) data for a geometry-optimized Dy2Ga2Ag3 structure, as listed in Alexandria via LeMat-Bulk.

a b c (Å): 3.6438 4.1565 9.9169
angles (deg): 102.10 90.00 90.00
Atoms (fractional coordinates):
Ag (0.0000, 0.0000, 0.0000)
Ag (0.5000, 0.5704, 0.1408)
Ag (0.5000, 0.4296, 0.8592)
Ga (0.5000, 0.7129, 0.4257)
Ga (0.5000, 0.2871, 0.5743)
Dy (0.0000, 0.8424, 0.6848)
Dy (0.0000, 0.1576, 0.3152)

space-group type: Cmmm, No. 65
density of states at the Fermi level: 3.35 states/eV per cell
calculated formation energy: -0.34 eV/atom
ΔE to the lowest computed polymorph: 0.000 eV/atom
mass density: 8.91 g cm⁻³

***

(8)
First-principles (PBE-GGA) data for a geometry-optimized KTeI5 structure, as listed in Alexandria via LeMat-Bulk.

a b c (Å): 9.2345 9.2345 12.0494
angles (deg): 69.92 69.92 50.02
Atoms (fractional coordinates):
K (0.5024, 0.4976, 0.7500)
K (0.4976, 0.5024, 0.2500)
I (0.0031, 0.9969, 0.7500)
I (0.9969, 0.0031, 0.2500)
I (0.9356, 0.3745, 0.9170)
I (0.5793, 0.1970, 0.0582)
I (0.0644, 0.6255, 0.0830)
I (0.3745, 0.9356, 0.4170)
I (0.6255, 0.0644, 0.5830)
I (0.8030, 0.4207, 0.4418)
I (0.4207, 0.8030, 0.9418)
I (0.1970, 0.5793, 0.5582)
Te (0.0000, 0.0000, 0.0000)
Te (0.0000, 0.0000, 0.5000)

energy relative to the elements, uncorrected: -42.6 kJ per mole of atoms
space-group type: C2/c, No. 15
density of states at the Fermi level: 11.69 states/eV per cell
ΔE to the lowest computed polymorph: 0.000 eV/atom
mass density: 3.65 g cm⁻³

***

(9)
First-principles (PBE-GGA) data for a geometry-optimized TbHfIrAu structure, as listed in Alexandria via LeMat-Bulk.

a b c (Å): 4.8509 4.8509 4.8509
angles (deg): 60.00 60.00 60.00
Atoms (fractional coordinates):
Tb (0.7500, 0.7500, 0.7500)
Ir (0.5000, 0.5000, 0.5000)
Au (0.0000, 0.0000, 0.0000)
Hf (0.2500, 0.2500, 0.2500)

space-group type: F-43m, No. 216
density of states at the Fermi level: 3.09 states/eV per cell
calculated formation energy: -0.66 eV/atom
mass density: 14.95 g cm⁻³

***

(10)
First-principles (PBE-GGA) data for a geometry-optimized La6Co2PCl3 structure, as listed in Alexandria via LeMat-Bulk.

a b c (Å): 7.2647 7.2647 7.7130
angles (deg): 97.75 97.75 121.93
Atoms (fractional coordinates):
La (0.5698, 0.9139, 0.8001)
La (0.0861, 0.4302, 0.1999)
La (0.7316, 0.7316, 0.2182)
La (0.4302, 0.0861, 0.1999)
La (0.9139, 0.5698, 0.8001)
La (0.2684, 0.2684, 0.7818)
P (0.0000, 0.0000, 0.0000)
Co (0.6651, 0.3349, 0.0000)
Co (0.3349, 0.6651, 0.0000)
Cl (0.5000, 0.5000, 0.5000)
Cl (0.8345, 0.1655, 0.5000)
Cl (0.1655, 0.8345, 0.5000)

energy relative to the elements, uncorrected: -110.8 kJ per mole of atoms
space-group type: C2/m, No. 12
density of states at the Fermi level: 8.49 states/eV per cell
mass density: 5.45 g cm⁻³

***

(11)
First-principles (PBE-GGA) data for a geometry-optimized ScGa2Cu3 structure, as listed in Alexandria via LeMat-Bulk.

a b c (Å): 4.0026 8.0358 7.1754
angles (deg): 124.05 106.20 90.00
Atoms (fractional coordinates):
Ga (0.3263, 0.3263, 0.6526)
Ga (0.3263, 0.8263, 0.6526)
Ga (0.6737, 0.6737, 0.3474)
Ga (0.6737, 0.1737, 0.3474)
Cu (0.8317, 0.5817, 0.6634)
Cu (0.8317, 0.0817, 0.6634)
Cu (0.5000, 0.2500, 0.0000)
Cu (0.1683, 0.9183, 0.3366)
Cu (0.5000, 0.7500, 0.0000)
Cu (0.1683, 0.4183, 0.3366)
Sc (0.0000, 0.5000, 0.0000)
Sc (0.0000, 0.0000, 0.0000)

space-group type: Cmmm, No. 65
density of states at the Fermi level: 4.95 states/eV per cell
calculated formation energy: -0.18 eV/atom
ΔE to the lowest computed polymorph: 0.122 eV/atom
mass density: 6.92 g cm⁻³

***

(12)
First-principles (PBE-GGA) data for a geometry-optimized ZnGeTe2 structure, as listed in Alexandria via LeMat-Bulk.

a b c (Å): 6.5519 6.5519 7.8449
angles (deg): 65.32 65.32 90.00
Atoms (fractional coordinates):
Zn (0.2500, 0.7500, 0.5000)
Zn (0.5000, 0.5000, 0.0000)
Te (0.5931, 0.1250, 0.2500)
Te (0.3750, 0.4069, 0.7500)
Te (0.8750, 0.8431, 0.7500)
Te (0.1569, 0.6250, 0.2500)
Ge (0.7500, 0.2500, 0.5000)
Ge (0.0000, 0.0000, 0.0000)

energy relative to the elements, uncorrected: -9.1 kJ per mole of atoms
space-group type: I-42d, No. 122
density of states at the Fermi level: 0.00 states/eV per cell
ΔE to the lowest computed polymorph: 0.000 eV/atom
mass density: 4.81 g cm⁻³

***

(13)
First-principles (PBE-GGA) data for a geometry-optimized LiAcAs2O8 structure, as listed in Alexandria via LeMat-Bulk.

a b c (Å): 6.2674 6.2674 6.2674
angles (deg): 106.95 106.95 114.64
Site moments in Bohr magnetons follow the coordinates.
Atoms (fractional coordinates):
O (0.9095, 0.2313, 0.3218)  0.20
O (0.7687, 0.0905, 0.6782)  0.20
O (0.4123, 0.0905, 0.3218)  0.20
O (0.4738, 0.6567, 0.8171)  0.24
O (0.9095, 0.5877, 0.6782)  0.20
O (0.8397, 0.6567, 0.1829)  0.24
O (0.3433, 0.5262, 0.1829)  0.24
O (0.3433, 0.1603, 0.8171)  0.24
Li (0.2500, 0.7500, 0.5000)  0.00
As (0.7500, 0.2500, 0.5000)  -0.02
As (0.5000, 0.5000, 0.0000)  -0.03
Ac (0.0000, 0.0000, 0.0000)  0.00

energy relative to the elements, uncorrected: -150.2 kJ per mole of atoms
space-group type: I-4m2, No. 119
density of states at the Fermi level: 8.59 states/eV per cell
mass density: 4.51 g cm⁻³

***

(14)
First-principles (PBE-GGA) data for a geometry-optimized Ir9Os2Rh structure, as listed in Alexandria via LeMat-Bulk.

a b c (Å): 3.8658 3.8658 11.6112
angles (deg): 90.00 90.00 90.00
Atoms (fractional coordinates):
Rh (0.0000, 0.0000, 0.0000)
Ir (0.0000, 0.5000, 0.5000)
Ir (0.5000, 0.0000, 0.8311)
Ir (0.5000, 0.5000, 0.6654)
Ir (0.5000, 0.5000, 0.0000)
Ir (0.5000, 0.5000, 0.3346)
Ir (0.0000, 0.5000, 0.1689)
Ir (0.5000, 0.0000, 0.1689)
Ir (0.0000, 0.5000, 0.8311)
Ir (0.5000, 0.0000, 0.5000)
Os (0.0000, 0.0000, 0.3298)
Os (0.0000, 0.0000, 0.6702)

space-group type: P4/mmm, No. 123
density of states at the Fermi level: 9.67 states/eV per cell
calculated formation energy: -0.01 eV/atom
mass density: 21.18 g cm⁻³

***

(15)
First-principles (PBE-GGA) data for a geometry-optimized Cr2TcN structure, as listed in Alexandria via LeMat-Bulk.

a b c (Å): 2.7945 2.7945 6.6441
angles (deg): 77.86 77.86 60.00
Site moments in Bohr magnetons follow the coordinates.
Atoms (fractional coordinates):
Cr (0.0576, 0.0576, 0.8271)  0.07
Cr (0.2777, 0.2777, 0.1670)  0.01
Tc (0.4992, 0.4992, 0.5025)  -0.01
N (0.6655, 0.6655, 0.0035)  0.00

energy relative to the elements, uncorrected: -23.1 kJ per mole of atoms
space-group type: R3m, No. 160
density of states at the Fermi level: 3.28 states/eV per cell
mass density: 8.23 g cm⁻³

***

(16)
First-principles (PBE-GGA) data for a geometry-optimized AlOs3Br structure, as listed in Alexandria via LeMat-Bulk.

a b c (Å): 4.5656 4.5656 4.5656
angles (deg): 90.00 90.00 90.00
Site moments in Bohr magnetons follow the coordinates.
Atoms (fractional coordinates):
Os (0.0000, 0.5000, 0.0000)  1.13
Os (0.0000, 0.0000, 0.5000)  0.89
Os (0.5000, 0.0000, 0.0000)  1.00
Br (0.5000, 0.5000, 0.5000)  0.23
Al (0.0000, 0.0000, 0.0000)  -0.02

energy relative to the elements, uncorrected: 212.1 kJ per mole of atoms
space-group type: Pm-3m, No. 221
density of states at the Fermi level: 6.57 states/eV per cell
ΔE to the lowest computed polymorph: 0.000 eV/atom
mass density: 11.82 g cm⁻³

***

(17)
First-principles (PBE-GGA) data for a geometry-optimized La2Sc2Bi2H structure, as listed in Alexandria via LeMat-Bulk.

a b c (Å): 4.5710 4.5710 9.1355
angles (deg): 104.49 104.49 90.00
Site moments in Bohr magnetons follow the coordinates.
Atoms (fractional coordinates):
Sc (0.0000, 0.5000, 0.0000)  0.51
Sc (0.5000, 0.0000, 0.0000)  0.51
Bi (0.3744, 0.3744, 0.7489)  -0.02
Bi (0.6256, 0.6256, 0.2511)  -0.02
La (0.1752, 0.1752, 0.3505)  0.06
La (0.8248, 0.8248, 0.6495)  0.06
H (0.0000, 0.0000, 0.0000)  -0.01

space-group type: I4/mmm, No. 139
density of states at the Fermi level: 7.63 states/eV per cell
mass density: 7.32 g cm⁻³
DFT total energy: -5.51 eV/atom

***

(18)
First-principles (PBE-GGA) data for a geometry-optimized RbCu3GeSe4 structure, as listed in Alexandria via LeMat-Bulk.

a b c (Å): 6.2853 6.2853 6.2853
angles (deg): 90.00 90.00 90.00
Atoms (fractional coordinates):
Se (0.2149, 0.7851, 0.7851)
Se (0.7851, 0.7851, 0.2149)
Se (0.2149, 0.2149, 0.2149)
Se (0.7851, 0.2149, 0.7851)
Cu (0.0000, 0.5000, 0.0000)
Cu (0.5000, 0.0000, 0.0000)
Cu (0.0000, 0.0000, 0.5000)
Ge (0.0000, 0.0000, 0.0000)
Rb (0.5000, 0.5000, 0.5000)

energy relative to the elements, uncorrected: -21.8 kJ per mole of atoms
space-group type: P-43m, No. 215
mass density: 4.44 g cm⁻³

***

(19)
First-principles (PBE-GGA) data for a geometry-optimized Na3NpSc2O6 structure, as listed in Alexandria via LeMat-Bulk.

a b c (Å): 5.7038 5.7038 5.8777
angles (deg): 99.23 99.23 120.05
Site moments in Bohr magnetons follow the coordinates.
Atoms (fractional coordinates):
Na (0.8277, 0.1723, 0.5000)  0.00
Na (0.1723, 0.8277, 0.5000)  0.00
Na (0.5000, 0.5000, 0.5000)  0.00
Np (0.0000, 0.0000, 0.0000)  3.62
O (0.9311, 0.5814, 0.7920)  -0.02
O (0.7195, 0.7195, 0.2098)  -0.02
O (0.4186, 0.0689, 0.2080)  -0.02
O (0.5814, 0.9311, 0.7920)  -0.02
O (0.2805, 0.2805, 0.7902)  -0.02
O (0.0689, 0.4186, 0.2080)  -0.02
Sc (0.3336, 0.6664, 0.0000)  0.14
Sc (0.6664, 0.3336, 0.0000)  0.14

energy relative to the elements, uncorrected: -250.8 kJ per mole of atoms
space-group type: C2/m, No. 12
density of states at the Fermi level: 6.35 states/eV per cell
mass density: 5.21 g cm⁻³

***

(20)
First-principles (PBE-GGA) data for a geometry-optimized LaPr2Ge structure, as listed in Alexandria via LeMat-Bulk.

a b c (Å): 4.7996 4.9044 4.9044
angles (deg): 90.00 90.00 90.00
Atoms (fractional coordinates):
Pr (0.0000, 0.5000, 0.0000)
Pr (0.0000, 0.0000, 0.5000)
Ge (0.5000, 0.0000, 0.0000)
La (0.5000, 0.5000, 0.5000)

space-group type: P4/mmm, No. 123
density of states at the Fermi level: 4.41 states/eV per cell
calculated formation energy: -0.36 eV/atom
ΔE to the lowest computed polymorph: 0.088 eV/atom
mass density: 7.10 g cm⁻³